A plane-wave DFT calculation with GGA-PBE was carried out for an optimized crystal structure of Tb2PrIn2Hg2.

Geometry as CIF:
```
data_Tb2PrIn2Hg2
_chemical_formula_sum 'Tb2 Pr1 In2 Hg2'
_cell_length_a 4.9719
_cell_length_b 4.9719
_cell_length_c 9.4747
_cell_angle_alpha 74.79
_cell_angle_beta 74.79
_cell_angle_gamma 60.00
_symmetry_space_group_name_H-M 'P 1'
_symmetry_Int_Tables_number 1
loop_
_symmetry_equiv_pos_as_xyz
'x,y,z'
loop_
_atom_site_label
_atom_site_fract_x
_atom_site_fract_y
_atom_site_fract_z
Hg1 0.5705 0.5705 0.2886
Pr1 0.0000 0.0000 0.0000
Tb1 0.8676 0.8676 0.3973
In1 0.2658 0.2658 0.2026
Tb2 0.1324 0.1324 0.6027
Hg2 0.4295 0.4295 0.7114
In2 0.7342 0.7342 0.7974
```

Summary:
- Formation energy: -312 meV per atom
- Space group: R-3m (166)

***

A plane-wave DFT calculation with GGA-PBE was carried out for an optimized crystal structure of PrIn2HgTe4.

Geometry as CIF:
```
data_PrIn2HgTe4
_chemical_formula_sum 'Pr1 In2 Hg1 Te4'
_cell_length_a 4.4230
_cell_length_b 7.9676
_cell_length_c 8.0035
_cell_angle_alpha 69.67
_cell_angle_beta 90.00
_cell_angle_gamma 90.00
_symmetry_space_group_name_H-M 'P 1'
_symmetry_Int_Tables_number 1
loop_
_symmetry_equiv_pos_as_xyz
'x,y,z'
loop_
_atom_site_label
_atom_site_fract_x
_atom_site_fract_y
_atom_site_fract_z
In1 0.0000 0.0000 0.0000
Te1 0.0000 0.7561 0.7406
Hg1 0.5000 0.5000 0.0000
Te2 0.5000 0.2458 0.7380
Pr1 0.0000 0.5000 0.5000
Te3 0.5000 0.7542 0.2620
Te4 0.0000 0.2439 0.2594
In2 0.5000 0.0000 0.5000
```

Summary:
- Formation energy from raw total energies: -12.34 kcal/mol of atoms
- Space group: P2/m (10)

***

A plane-wave DFT calculation with GGA-PBE was carried out for an optimized crystal structure of Pr2ThIn2Hg2.

Geometry as CIF:
```
data_Pr2ThIn2Hg2
_chemical_formula_sum 'Pr2 Th1 In2 Hg2'
_cell_length_a 5.0012
_cell_length_b 5.0012
_cell_length_c 9.6817
_cell_angle_alpha 75.03
_cell_angle_beta 75.03
_cell_angle_gamma 60.00
_symmetry_space_group_name_H-M 'P 1'
_symmetry_Int_Tables_number 1
loop_
_symmetry_equiv_pos_as_xyz
'x,y,z'
loop_
_atom_site_label
_atom_site_fract_x
_atom_site_fract_y
_atom_site_fract_z
Hg1 0.5851 0.5851 0.2446
Pr1 0.8704 0.8704 0.3888
In1 0.2712 0.2712 0.1864
Hg2 0.4149 0.4149 0.7554
In2 0.7288 0.7288 0.8136
Pr2 0.1296 0.1296 0.6112
Th1 0.0000 0.0000 0.0000
```

Summary:
- Formation energy: -222 meV per atom
- Space group: R-3m (166)

***

A plane-wave DFT calculation with GGA-PBE was carried out for an optimized crystal structure of Pr4TlInHg2.

Geometry as CIF:
```
data_Pr4TlInHg2
_chemical_formula_sum 'Pr4 Tl1 In1 Hg2'
_cell_length_a 5.5171
_cell_length_b 5.5171
_cell_length_c 9.5533
_cell_angle_alpha 73.22
_cell_angle_beta 73.22
_cell_angle_gamma 60.00
_symmetry_space_group_name_H-M 'P 1'
_symmetry_Int_Tables_number 1
loop_
_symmetry_equiv_pos_as_xyz
'x,y,z'
loop_
_atom_site_label
_atom_site_fract_x
_atom_site_fract_y
_atom_site_fract_z
In1 0.5000 0.5000 0.5000
Pr1 0.6248 0.6248 0.1256
Pr2 0.3752 0.3752 0.8744
Tl1 0.0000 0.0000 0.0000
Hg1 0.7508 0.7508 0.7477
Pr3 0.8748 0.8748 0.3756
Pr4 0.1252 0.1252 0.6244
Hg2 0.2492 0.2492 0.2523
```

Summary:
- Formation energy: -454 meV per atom
- Space group: R-3m (166)

***

A plane-wave DFT calculation with GGA-PBE was carried out for an optimized crystal structure of Pr4Tl2InHg.

Geometry as CIF:
```
data_Pr4Tl2InHg
_chemical_formula_sum 'Pr4 Tl2 In1 Hg1'
_cell_length_a 5.5320
_cell_length_b 5.5320
_cell_length_c 9.5934
_cell_angle_alpha 73.24
_cell_angle_beta 73.24
_cell_angle_gamma 60.00
_symmetry_space_group_name_H-M 'P 1'
_symmetry_Int_Tables_number 1
loop_
_symmetry_equiv_pos_as_xyz
'x,y,z'
loop_
_atom_site_label
_atom_site_fract_x
_atom_site_fract_y
_atom_site_fract_z
In1 0.5000 0.5000 0.5000
Pr1 0.3739 0.3739 0.8784
Pr2 0.6261 0.6261 0.1216
Tl1 0.2504 0.2504 0.2487
Pr3 0.1238 0.1238 0.6286
Tl2 0.7496 0.7496 0.7513
Pr4 0.8762 0.8762 0.3714
Hg1 0.0000 0.0000 0.0000
```

Summary:
- Formation energy: -432 meV per atom
- Space group: R-3m (166)

***

A plane-wave DFT calculation with GGA-PBE was carried out for an optimized crystal structure of Pr2TmIn2Hg2.

Geometry as CIF:
```
data_Pr2TmIn2Hg2
_chemical_formula_sum 'Pr2 Tm1 In2 Hg2'
_cell_length_a 4.9163
_cell_length_b 4.9163
_cell_length_c 9.8435
_cell_angle_alpha 75.54
_cell_angle_beta 75.54
_cell_angle_gamma 60.00
_symmetry_space_group_name_H-M 'P 1'
_symmetry_Int_Tables_number 1
loop_
_symmetry_equiv_pos_as_xyz
'x,y,z'
loop_
_atom_site_label
_atom_site_fract_x
_atom_site_fract_y
_atom_site_fract_z
Pr1 0.1269 0.1269 0.6194
Tm1 0.0000 0.0000 0.0000
In1 0.7381 0.7381 0.7858
In2 0.2619 0.2619 0.2142
Pr2 0.8731 0.8731 0.3806
Hg1 0.3853 0.3853 0.8441
Hg2 0.6147 0.6147 0.1559
```

Summary:
- Formation energy: -289 meV per atom
- Space group: R-3m (166)

***

| no. | Fermi-level density of states (states/eV per atom) |
| --- | --- |
| 1 | 0.608 |
| 2 | 0.374 |
| 3 | 0.673 |
| 4 | 1.029 |
| 5 | 1.369 |
| 6 | 0.659 |